Entry 1:
Density functional theory data (meta-GGA SCAN) for Mn2Au3 at its PBEsol-relaxed geometry.

Lattice parameters (Å, degrees): 8.7990 3.9128 6.2644 90.00 133.12 90.00
Space group C2/m (No. 12)
Symmetry-distinct sites (fractional):
Mn 0.0925 0.0000 0.2974 [4 per cell]
Au 0.0000 0.5000 0.5000 [2 per cell]
Au 0.1995 0.5000 0.1122 [4 per cell]

Results
formation energy from the elements = -395.6 meV per atom

Entry 2:
Density functional theory data (meta-GGA SCAN) for RbTaIn2Ir at its PBEsol-relaxed geometry.

Lattice parameters (Å, degrees): 5.2925 5.2925 5.4381 90.00 90.00 90.00
Space group P4/mmm (No. 123)
Symmetry-distinct sites (fractional):
Rb 0.0000 0.0000 0.0000 [1 per cell]
Ta 0.0000 0.0000 0.5000 [1 per cell]
In 0.0000 0.5000 0.5000 [2 per cell]
Ir 0.5000 0.5000 0.0000 [1 per cell]

Results
formation energy from the elements = 1947.0 meV per atom

Entry 3:
Density functional theory data (meta-GGA SCAN) for Sr2LiCa at its PBEsol-relaxed geometry.

Lattice parameters (Å, degrees): 4.1809 6.3433 12.6138 90.00 90.00 90.00
Space group Imm2 (No. 44)
Symmetry-distinct sites (fractional):
Sr 0.0000 0.0000 0.0000 [2 per cell]
Sr 0.0000 0.5000 0.2164 [2 per cell]
Li 0.0000 0.0000 0.4881 [2 per cell]
Ca 0.0000 0.5000 0.7787 [2 per cell]

Results
formation energy from the elements = 22.6 meV per atom

Entry 4:
Density functional theory data (meta-GGA SCAN) for B2Ru at its PBEsol-relaxed geometry.

Lattice parameters (Å, degrees): 2.8520 4.6206 4.0219 90.00 90.00 90.00
Space group Pmmn (No. 59, origin choice 2)
Symmetry-distinct sites (fractional):
B 0.2500 0.0534 0.1373 [4 per cell]
Ru 0.2500 0.2500 0.6507 [2 per cell]

Results
formation energy from the elements = -324.1 meV per atom

Entry 5:
Density functional theory data (meta-GGA SCAN) for Al2TlCr at its PBEsol-relaxed geometry.

Lattice parameters (Å, degrees): 3.9164 3.9164 8.4195 90.00 90.00 90.00
Space group I4/mmm (No. 139)
Symmetry-distinct sites (fractional):
Al 0.0000 0.5000 0.2500 [4 per cell]
Tl 0.0000 0.0000 0.0000 [2 per cell]
Cr 0.0000 0.0000 0.5000 [2 per cell]

Results
formation energy from the elements = 209.2 meV per atom

Entry 6:
Density functional theory data (meta-GGA SCAN) for Cr2TePtAu at its PBEsol-relaxed geometry.

Lattice parameters (Å, degrees): 4.9244 4.9244 4.9791 90.00 90.00 90.00
Space group P4/mmm (No. 123)
Symmetry-distinct sites (fractional):
Cr 0.0000 0.5000 0.0000 [2 per cell]
Te 0.0000 0.0000 0.0000 [1 per cell]
Pt 0.5000 0.5000 0.5000 [1 per cell]
Au 0.0000 0.0000 0.5000 [1 per cell]

Results
ΔE_f (raw) = 1000 meV/atom

Entry 7:
Density functional theory data (meta-GGA SCAN) for SmMg2Bi2 at its PBEsol-relaxed geometry.

Lattice parameters (Å, degrees): 4.7894 4.7894 7.3242 90.00 90.00 120.00
Space group P-3m1 (No. 164)
Symmetry-distinct sites (fractional):
Sm 0.0000 0.0000 0.0000 [1 per cell]
Mg 0.3333 0.6667 0.6446 [2 per cell]
Bi 0.3333 0.6667 0.2394 [2 per cell]

Results
formation energy from the elements = -491.9 meV per atom

Entry 8:
Density functional theory data (meta-GGA SCAN) for BaGaP2Cl at its PBEsol-relaxed geometry.

Lattice parameters (Å, degrees): 4.6329 4.6329 5.6016 90.00 90.00 90.00
Space group P4/mmm (No. 123)
Symmetry-distinct sites (fractional):
Ba 0.0000 0.0000 0.0000 [1 per cell]
Ga 0.5000 0.5000 0.5000 [1 per cell]
P 0.0000 0.5000 0.5000 [2 per cell]
Cl 0.5000 0.5000 0.0000 [1 per cell]

Results
ΔE_f (raw) = -682 meV/atom

| no. | final energy (eV/atom) |
| --- | --- |
| 1 | -49.192 |
| 2 | -43.092 |
| 3 | -14.128 |
| 4 | -16.886 |
| 5 | -26.352 |
| 6 | -41.674 |
| 7 | -42.802 |
| 8 | -17.616 |